(1)
## Cs3Cd2GeCl9 (PBE)

Data for Cs3Cd2GeCl9 after structural relaxation.

**Raw formation energy**: -32.912 kcal/mol of atoms

Cell: 7.541 7.541 9.234 Å, 90.00 90.00 120.00°
Atoms (fractional coordinates):
Cd1 0.667 0.333 0.833
Cl1 0.833 0.667 0.666
Cs1 0.667 0.333 0.333
Cl2 0.000 0.500 0.000
Cl3 0.500 0.000 0.000
Cl4 0.667 0.833 0.334
Cl5 0.167 0.833 0.334
Cs2 0.000 0.000 0.000
Ge1 0.000 0.000 0.500
Cl6 0.500 0.500 0.000
Cl7 0.833 0.167 0.666
Cd2 0.333 0.667 0.167
Cl8 0.333 0.167 0.666
Cs3 0.333 0.667 0.667
Cl9 0.167 0.333 0.334


(2)
## Sb2PbCl (PBE)

Data for Sb2PbCl after structural relaxation.

**Raw formation energy**: -1.275 kcal/mol of atoms

Cell: 3.298 5.782 6.061 Å, 90.00 90.00 90.00°
Atoms (fractional coordinates):
Pb1 0.500 0.500 0.750
Sb1 0.000 0.000 0.989
Sb2 0.000 0.000 0.511
Cl1 0.500 0.500 0.250


(3)
## SrBiB (PBE)

Data for SrBiB after structural relaxation.

**Calculated formation energy**: 0.9309 eV/atom

Cell: 5.205 5.205 5.205 Å, 60.00 60.00 60.00°
Atoms (fractional coordinates):
Bi1 0.750 0.750 0.750
B1 0.500 0.500 0.500
Sr1 0.000 0.000 0.000


(4)
## Th2TiTl (PBE)

Data for Th2TiTl after structural relaxation.

**Calculated formation energy**: 0.0728 eV/atom

Cell: 4.753 4.735 4.735 Å, 90.00 90.00 90.00°
Atoms (fractional coordinates):
Tl1 0.500 0.500 0.500
Th1 0.000 0.000 0.500
Th2 0.000 0.500 0.000
Ti1 0.500 0.000 0.000


(5)
## Al2TcCl (PBE)

Data for Al2TcCl after structural relaxation.

**Raw formation energy**: -6.874 kcal/mol of atoms

Cell: 8.184 8.187 8.182 Å, 156.48 155.90 33.92°
Atoms (fractional coordinates):
Cl1 0.477 0.103 0.626
Al1 0.741 0.365 0.624
Tc1 0.202 0.826 0.625
Al2 0.081 0.206 0.125


(6)
## Tb5Tl2Rh (PBE)

Data for Tb5Tl2Rh after structural relaxation.

**Calculated formation energy**: -0.0658 eV/atom

Cell: 5.461 8.710 12.477 Å, 90.00 90.00 108.27°
Atoms (fractional coordinates):
Tl1 0.115 0.231 0.868
Tb1 0.925 0.849 0.899
Tb2 0.925 0.849 0.601
Tl2 0.885 0.769 0.132
Tb3 0.701 0.403 0.928
Tb4 0.075 0.151 0.101
Tb5 0.701 0.403 0.572
Tb6 0.293 0.586 0.750
Tl3 0.115 0.231 0.632
Tb7 0.075 0.151 0.399
Rh1 0.193 0.386 0.250
Tb8 0.707 0.414 0.250
Tb9 0.299 0.597 0.428
Rh2 0.807 0.614 0.750
Tb10 0.299 0.597 0.072
Tl4 0.885 0.769 0.368


(7)
## TbP2W (PBE)

Data for TbP2W after structural relaxation.

**Calculated formation energy**: -0.5246 eV/atom

Cell: 3.147 3.147 6.744 Å, 90.00 90.00 90.00°
Atoms (fractional coordinates):
Tb1 0.500 0.500 0.500
P1 0.000 0.000 0.206
P2 0.000 0.000 0.794
W1 0.500 0.500 0.000


(8)
## Sc2CdW (PBE)

Data for Sc2CdW after structural relaxation.

**Calculated formation energy**: 0.0399 eV/atom

Cell: 2.947 2.947 9.231 Å, 90.00 90.00 90.00°
Atoms (fractional coordinates):
W1 0.500 0.500 0.250
Sc1 0.000 0.000 0.484
Cd1 0.500 0.500 0.750
Sc2 0.000 0.000 0.016


(9)
## LiMnCr2 (PBE)

Data for LiMnCr2 after structural relaxation.

**Calculated formation energy**: 0.4283 eV/atom

Cell: 3.982 3.982 3.982 Å, 60.00 60.00 60.00°
Atoms (fractional coordinates):
Mn1 0.500 0.500 0.500
Cr1 0.250 0.250 0.250
Li1 0.000 0.000 0.000
Cr2 0.750 0.750 0.750


(10)
## VInI (PBE)

Data for VInI after structural relaxation.

**Raw formation energy**: 2.187 kcal/mol of atoms

Cell: 6.434 5.091 10.971 Å, 90.00 107.15 90.00°
Site moments in Bohr magnetons follow the coordinates.
Atoms (fractional coordinates):
I1 0.333 0.058 0.168  -0.02
V1 0.819 0.750 0.636  2.21
In1 0.452 0.722 0.405  -0.03
I2 0.833 0.442 0.168  -0.02
I3 0.167 0.558 0.832  -0.02
I4 0.667 0.942 0.832  -0.02
V2 0.681 0.250 0.364  2.21
In2 0.548 0.278 0.595  -0.03
V3 0.319 0.750 0.636  2.21
In3 0.952 0.778 0.405  -0.03
In4 0.048 0.222 0.595  -0.03
V4 0.181 0.250 0.364  2.21


(11)
## Ce2ZnCo4 (PBE)

Data for Ce2ZnCo4 after structural relaxation.

**Calculated formation energy**: 0.0118 eV/atom

Cell: 5.627 5.627 5.540 Å, 120.49 120.45 90.09°
Site moments in Bohr magnetons follow the coordinates.
Atoms (fractional coordinates):
Zn1 0.000 0.000 0.000  -0.01
Co1 0.298 0.298 0.000  0.41
Co2 0.703 0.297 0.000  0.41
Ce1 0.750 0.250 0.500  -0.26
Co3 0.702 0.702 0.000  0.41
Ce2 0.250 0.750 0.500  -0.26
Co4 0.297 0.703 0.000  0.41


(12)
## La4AuSBr2 (PBE)

Data for La4AuSBr2 after structural relaxation.

**Raw formation energy**: -32.136 kcal/mol of atoms

Cell: 4.242 7.445 7.836 Å, 108.76 90.00 90.00°
Atoms (fractional coordinates):
La1 0.000 0.278 0.782
Br1 0.500 0.000 0.500
La2 0.500 0.251 0.224
La3 0.000 0.722 0.218
La4 0.500 0.749 0.776
Br2 0.000 0.500 0.500
Au1 0.000 0.000 0.000
S1 0.500 0.500 0.000


Uncorrected energy: -3.136, -3.505, -3.149, -6.202, -5.223, -4.470, -7.625, -6.593, -7.154, -4.374, -5.926, -5.201 (eV/atom)